Entry 1:
5
Lattice="5.791 0.000 0.000 0.000 5.791 0.000 0.000 0.000 5.791" Properties=species:S:1:pos:R:3 comment="GGA-PBE YCd3P, optimized geometry" e_above_lowest_polymorph_mev_per_atom=877.6 ef_ev_per_atom=1.155 space_group="Pm-3m (221)" pbc="T T T"
Y 0.000 0.000 0.000
Cd 0.000 0.000 2.896
Cd 0.000 2.896 0.000
Cd 2.896 0.000 0.000
P 2.896 2.896 2.896



Entry 2:
5
Lattice="4.385 0.000 0.000 0.000 4.385 0.000 0.000 0.000 4.670" Properties=species:S:1:pos:R:3 comment="GGA-PBE AsPHRu2, optimized geometry" total_energy_ry_per_atom=-0.378 space_group="P4/mmm (123)" pbc="T T T"
As 0.000 0.000 0.000
P 0.000 0.000 2.335
H 2.193 2.193 0.000
Ru 0.000 2.193 2.335
Ru 2.193 0.000 2.335



Entry 3:
9
Lattice="5.763 -1.617 0.000 5.763 1.617 0.000 -0.502 0.000 6.654" Properties=species:S:1:pos:R:3 comment="GGA-PBE Dy3Fe2C4, optimized geometry" ef_ev_per_atom=-0.005 space_group="C2/m (12)" pbc="T T T"
Dy 0.000 0.000 0.000
Dy 4.010 0.000 3.148
Dy 7.014 0.000 3.506
Fe 2.665 0.000 5.693
Fe 8.359 0.000 0.960
C 1.927 0.000 1.859
C 3.936 0.000 0.690
C 7.087 0.000 5.963
C 9.097 0.000 4.794